[1]
## Pa4Ir3Os (PBE)

Data for a geometry-optimized Pa4Ir3Os structure.

Structure (POSCAR):
```
Pa4Ir3Os
1.0
3.548 -5.579 0.000
3.548 5.579 0.000
-0.016 0.000 4.343
Pa Ir Os
4 3 1
direct
0.000 0.500 0.500
0.237 0.237 0.000
0.500 0.000 0.500
0.763 0.763 0.000
0.000 0.000 0.500
0.303 0.697 0.000
0.697 0.303 0.000
0.500 0.500 0.500
```

Calculated values
energy relative to the elements: -565 meV/atom
SG: C2/m

=====

[2]
## TeAs (PBE)

Data for a geometry-optimized TeAs structure.

Structure (POSCAR):
```
TeAs
1.0
-1.713 2.491 7.933
1.713 -2.491 7.933
1.713 2.491 -7.933
Te As
2 2
direct
0.295 0.045 0.250
0.705 0.955 0.750
0.051 0.301 0.750
0.949 0.699 0.250
```

Calculated values
SG: Imma
electronic total energy: -0.133 hartree per atom